TmMoAsO5 PBE+U relaxed; E = -112.53 eV/cell; SG = C2/c (15)
1.0
-0.847 -4.946 -2.877
5.645 1.260 -0.039
-1.199 -2.190 7.532
Tm O Mo As
2 10 2 2
Direct
0.000 0.000 0.000
0.000 0.000 0.500
0.416 0.266 0.083
0.584 0.734 0.917
0.658 0.059 0.338
0.059 0.658 0.838
0.342 0.941 0.662
0.094 0.906 0.250
0.266 0.416 0.583
0.906 0.094 0.750
0.734 0.584 0.417
0.941 0.342 0.162
0.315 0.685 0.250
0.685 0.315 0.750
0.315 0.685 0.750
0.685 0.315 0.250